4
Lattice="2.7232 0.0000 0.0000 0.0000 2.7232 0.0000 0.0000 0.0000 7.4157" Properties=species:S:1:pos:R:3 comment="GGA-PBE ReNiOs2, optimized geometry" formation_energy_ev_per_atom=0.15 n_ef_per_ev_cell=5.4 spacegroup="No. 99" dft_energy_ev_per_atom=-10.024 pbc="T T T"
Re 0.0000 0.0000 0.0000
Ni 1.3616 1.3616 1.7293
Os 0.0000 0.0000 3.5544
Os 1.3616 1.3616 5.4024